A relaxed structure of Tm12Co6Au, computed with PBE.

a = 8.1751 Å, b = 8.1751 Å, c = 8.1751 Å
α = 109.47°, β = 109.47°, γ = 109.47°
With the nearest neighbours (Å) after each atom.
Fractional positions:
1 Tm 0.1059 0.2995 0.8064  3 Co 2.62-2.85
2 Tm 0.1936 0.4930 0.2995  3 Co 2.62-2.85
3 Tm 0.1936 0.8941 0.7005  3 Co 2.62-2.85
4 Tm 0.2995 0.1936 0.4930  3 Co 2.62-2.85
5 Tm 0.2995 0.8064 0.1059  3 Co 2.62-2.85
6 Tm 0.4930 0.2995 0.1936  3 Co 2.62-2.85
7 Tm 0.5070 0.7005 0.8064  3 Co 2.62-2.85
8 Tm 0.7005 0.1936 0.8941  3 Co 2.62-2.85
9 Tm 0.7005 0.8064 0.5070  3 Co 2.62-2.85
10 Tm 0.8064 0.1059 0.2995  3 Co 2.62-2.85
11 Tm 0.8064 0.5070 0.7005  3 Co 2.62-2.85
12 Tm 0.8941 0.7005 0.1936  3 Co 2.62-2.85
13 Co 0.1151 0.5000 0.6151  1 Co 2.17
14 Co 0.3849 0.8849 0.5000  1 Co 2.17
15 Co 0.5000 0.3849 0.8849  1 Co 2.17
16 Co 0.5000 0.6151 0.1151  1 Co 2.17
17 Co 0.6151 0.1151 0.5000  1 Co 2.17
18 Co 0.8849 0.5000 0.3849  1 Co 2.17
19 Au 0.0000 0.0000 0.0000  12 Tm 3.37

Computed properties:
- energy relative to the elements (eV/f.u.) = -5.7
- symmetry = No. 204

---

A relaxed structure of K3BN2, computed with PBE.

a = 7.5924 Å, b = 7.5924 Å, c = 7.5924 Å
α = 130.33°, β = 84.17°, γ = 117.03°
With the nearest neighbours (Å) after each atom.
Fractional positions:
1 K 0.0694 0.7500 0.3194  2 N 2.69, 2 B 2.84
2 K 0.2500 0.2500 0.0000  4 N 2.89
3 K 0.4306 0.7500 0.6806  2 N 2.69, 2 B 2.84
4 K 0.5694 0.2500 0.3194  2 N 2.69, 2 B 2.84
5 K 0.7500 0.7500 0.0000  4 N 2.89
6 K 0.9306 0.2500 0.6806  2 N 2.69, 2 B 2.84
7 B 0.0000 0.5000 0.5000  2 N 1.36
8 B 0.5000 0.0000 0.5000  2 N 1.36
9 N 0.0589 0.6864 0.7453  1 B 1.36
10 N 0.4411 0.1864 0.6276  1 B 1.36
11 N 0.5589 0.8136 0.3724  1 B 1.36
12 N 0.9411 0.3136 0.2547  1 B 1.36

Computed properties:
- uncorrected formation energy (eV/atom) = -0.2676
- symmetry = No. 72

---

A relaxed structure of Ba2Sr5In3, computed with PBE.

a = 11.0676 Å, b = 11.0676 Å, c = 7.5514 Å
α = 97.95°, β = 97.95°, γ = 101.17°
With the nearest neighbours (Å) after each atom.
Fractional positions:
1 Ba 0.0868 0.6895 0.9393  2 In 3.70-3.78, 3 Sr 3.98-4.14
2 Ba 0.3105 0.9132 0.5607  2 In 3.70-3.78, 3 Sr 3.98-4.14
3 Ba 0.6895 0.0868 0.4393  2 In 3.70-3.78, 3 Sr 3.98-4.14
4 Ba 0.9132 0.3105 0.0607  2 In 3.70-3.78, 3 Sr 3.98-4.14
5 Sr 0.0007 0.9993 0.2500  4 In 3.49-3.58, 2 Sr 3.78
6 Sr 0.2167 0.5418 0.4667  4 In 3.53-3.89, 1 Sr 3.73
7 Sr 0.2523 0.3418 0.9063  3 In 3.41-3.47, 1 Sr 3.73
8 Sr 0.3418 0.2523 0.4063  3 In 3.41-3.47, 1 Sr 3.73
9 Sr 0.4582 0.7833 0.0333  4 In 3.53-3.89, 1 Sr 3.73
10 Sr 0.5418 0.2167 0.9667  4 In 3.53-3.89, 1 Sr 3.73
11 Sr 0.6582 0.7477 0.5937  3 In 3.41-3.47, 1 Sr 3.73
12 Sr 0.7477 0.6582 0.0937  3 In 3.41-3.47, 1 Sr 3.73
13 Sr 0.7833 0.4582 0.5333  4 In 3.53-3.89, 1 Sr 3.73
14 Sr 0.9993 0.0007 0.7500  4 In 3.49-3.58, 2 Sr 3.78
15 In 0.0133 0.2751 0.5460  5 Sr 3.41-3.58, 2 Ba 3.70-3.78
16 In 0.2751 0.0133 0.0460  5 Sr 3.41-3.58, 2 Ba 3.70-3.78
17 In 0.4844 0.5156 0.2500  6 Sr 3.45-3.62, 2 In 3.81
18 In 0.5156 0.4844 0.7500  6 Sr 3.45-3.62, 2 In 3.81
19 In 0.7249 0.9867 0.9540  5 Sr 3.41-3.58, 2 Ba 3.70-3.78
20 In 0.9867 0.7249 0.4540  5 Sr 3.41-3.58, 2 Ba 3.70-3.78

Computed properties:
- energy relative to the elements (eV/f.u.) = -2.3
- symmetry = No. 15

---

A relaxed structure of Rb2TiCr2Se6, computed with PBE.

a = 6.4654 Å, b = 6.4654 Å, c = 8.3880 Å
α = 97.27°, β = 97.27°, γ = 120.06°
With the nearest neighbours (Å) after each atom.
Fractional positions:
1 Rb 0.1656 0.8344 0.0000  6 Se 3.41-3.42, 3 Rb 3.71-3.74
2 Rb 0.8344 0.1656 0.0000  6 Se 3.41-3.42, 3 Rb 3.71-3.74
3 Ti 0.0000 0.0000 0.5000  6 Se 2.59-2.60
4 Cr 0.3325 0.6675 0.5000  6 Se 2.56-2.57
5 Cr 0.6675 0.3325 0.5000  6 Se 2.56-2.57
6 Se 0.0596 0.3938 0.6739  2 Cr 2.56-2.57, 1 Ti 2.59
7 Se 0.2816 0.2816 0.3259  2 Cr 2.57, 1 Ti 2.60
8 Se 0.3938 0.0596 0.6739  2 Cr 2.56-2.57, 1 Ti 2.59
9 Se 0.6062 0.9404 0.3261  2 Cr 2.56-2.57, 1 Ti 2.59
10 Se 0.7184 0.7184 0.6741  2 Cr 2.57, 1 Ti 2.60
11 Se 0.9404 0.6062 0.3261  2 Cr 2.56-2.57, 1 Ti 2.59

Computed properties:
- uncorrected formation energy (eV/atom) = -0.9175
- symmetry = No. 12

---

The V results, record by record, are as follows: 22.14, 23.75, 44.28, 26.69 Å³/atom.
The uncorrected energy results, record by record, are as follows: -5.538, -4.704, -2.275, -5.461 eV/atom.